(1)
A relaxed structure of PmZrTcRh. Source: the Alexandria database, functional PBE.

As for the crystal system: cubic. For the formation energy, the calculation gives -0.34 eV per atom. As for the uncorrected energy: -8.0909 eV/atom.

It has space group F-43m (No. 216), with a = 6.785 Å, b = 6.785 Å, c = 6.785 Å, α = 90.00°, β = 90.00° and γ = 90.00°. The asymmetric unit holds Pm at (0.000, 0.000, 0.000), Zr at (0.000, 0.000, 0.500), Tc at (0.250, 0.250, 0.250) and Rh at (0.250, 0.250, 0.750).

(2)
A relaxed structure of La4ZnPd. Source: the Alexandria database, functional PBE.

As for the crystal system: monoclinic. For the formation energy, the calculation gives -0.33 eV per atom. The energy above the most stable polymorph in this dataset comes out at 0.010 eV/atom. As for the uncorrected energy: -4.6890 eV/atom.

It has space group Cm (No. 8), with a = 16.781 Å, b = 3.803 Å, c = 5.554 Å, α = 90.00°, β = 90.67° and γ = 90.00°. The asymmetric unit holds La at (0.000, 0.000, 0.000), La at (0.064, 0.500, 0.485), La at (0.201, 0.500, 0.971), La at (0.348, 0.500, 0.525), Zn at (0.353, 0.000, 0.049) and Pd at (0.209, 0.000, 0.414).

(3)
A relaxed structure of CeHoTe. Source: the Alexandria database, functional PBE.

As for the formation energy (no corrections): -0.489 eV/atom. As for the crystal system: hexagonal. The energy above the most stable polymorph in this dataset comes out at 0.372 eV/atom. As for the uncorrected energy: -5.0400 eV/atom.

It has space group P-6m2 (No. 187), with a = 5.1940 Å, b = 5.1940 Å, c = 3.8717 Å, α = 90.00°, β = 90.00° and γ = 120.00°. The asymmetric unit holds Ce at (0.0000, 0.0000, 0.0000), Ho at (0.6667, 0.3333, 0.5000) and Te at (0.3333, 0.6667, 0.5000).

(4)
A relaxed structure of ThReSi3Ru. Source: the Alexandria database, functional PBE.

As for the formation energy (no corrections): -0.295 eV/atom. As for the crystal system: orthorhombic. As for the uncorrected energy: -7.8639 eV/atom.

It has space group Cmcm (No. 63), with a = 7.510 Å, b = 11.009 Å, c = 5.680 Å, α = 90.00°, β = 90.00° and γ = 90.00°. The asymmetric unit holds Th at (0.000, 0.248, 0.250), Re at (0.000, 0.452, 0.750), Si at (0.000, 0.247, 0.750), Si at (0.248, 0.000, 0.000) and Ru at (0.000, 0.047, 0.750).

(5)
A relaxed structure of HfTi2Tl. Source: the Alexandria database, functional PBE.

As for the crystal system: cubic. For the formation energy, the calculation gives 0.15 eV per atom. The energy above the most stable polymorph in this dataset comes out at 0.116 eV/atom. As for the uncorrected energy: -6.8740 eV/atom.

It has space group Fm-3m (No. 225), with a = 6.762 Å, b = 6.762 Å, c = 6.762 Å, α = 90.00°, β = 90.00° and γ = 90.00°. The asymmetric unit holds Hf at (0.000, 0.000, 0.000), Ti at (0.250, 0.250, 0.250) and Tl at (0.000, 0.000, 0.500).

(6)
A relaxed structure of NaNdSbAu. Source: the Alexandria database, functional PBE.

As for the formation energy (no corrections): -0.688 eV/atom. As for the crystal system: cubic. As for the uncorrected energy: -4.0593 eV/atom.

It has space group F-43m (No. 216), with a = 7.478 Å, b = 7.478 Å, c = 7.478 Å, α = 90.00°, β = 90.00° and γ = 90.00°. The asymmetric unit holds Na at (0.000, 0.000, 0.000), Nd at (0.000, 0.000, 0.500), Sb at (0.250, 0.250, 0.250) and Au at (0.250, 0.250, 0.750).

(7)
A relaxed structure of Pt2Pb. Source: the Alexandria database, functional PBE.

As for the crystal system: hexagonal. For the formation energy, the calculation gives 0.08 eV per atom. As for the uncorrected energy: -5.1847 eV/atom.

It has space group P-62m (No. 189), with a = 7.7107 Å, b = 7.7107 Å, c = 3.3092 Å, α = 90.00°, β = 90.00° and γ = 120.00°. The asymmetric unit holds Pt at (0.0000, 0.2986, 0.0000), Pt at (0.0000, 0.6320, 0.5000), Pb at (0.0000, 0.0000, 0.5000) and Pb at (0.3333, 0.6667, 0.0000).

(8)
A relaxed structure of Pr3Sm8In4. Source: the Alexandria database, functional PBE.

As for the crystal system: monoclinic. For the formation energy, the calculation gives 0.02 eV per atom. As for the uncorrected energy: -4.1807 eV/atom.

It has space group C2/m (No. 12), with a = 13.547 Å, b = 12.526 Å, c = 6.679 Å, α = 90.00°, β = 118.67° and γ = 90.00°. The asymmetric unit holds Pr at (0.000, 0.000, 0.000), Pr at (0.250, 0.250, 0.500), Sm at (0.000, 0.255, 0.500), Sm at (0.000, 0.261, 0.000), Sm at (0.145, 0.500, 0.541), Sm at (0.249, 0.000, 0.870), In at (0.000, 0.000, 0.500), In at (0.000, 0.500, 0.000) and In at (0.250, 0.250, 0.000).

Q: Number 3 is which compound?
A: CeHoTe

Q: Number 7 is which compound?
A: Pt2Pb